1.
CaMgSb, optimized geometry, DFT GGA-PBE; formation energy without anion corrections = -0.4006 eV/atom; volume = 84.2 Å³ per cell; total magnetic moment = 0.000 μB/f.u.; space group = I4mm (107)
1.0
-4.6122 -2.0954 -3.4807
-1.7306 -4.7491 -3.4967
-2.2054 -2.4065 2.1660
Sb Ca Mg
1 1 1
Direct
0.6864 0.6864 0.3136
0.0071 0.0071 0.9929
0.3065 0.3065 0.6935

2.
CaMg2Sb2, optimized geometry, DFT GGA-PBE; formation energy without anion corrections = -0.3975 eV/atom; volume = 269.0 Å³ per cell; total magnetic moment = 0.000 μB/f.u.; distance to the lowest polymorph of the same formula = 320 meV per atom; space group = P4/mbm (127)
1.0
8.4555 0.0000 0.0000
0.0000 8.4555 0.0000
0.0000 0.0000 3.7624
Ca Sb Mg
2 4 4
Direct
0.0000 0.0000 0.0000
0.5000 0.5000 0.0000
0.6646 0.1646 0.0000
0.1646 0.3354 0.0000
0.8354 0.6646 0.0000
0.3354 0.8354 0.0000
0.8672 0.3672 0.5000
0.6328 0.8672 0.5000
0.1328 0.6328 0.5000
0.3672 0.1328 0.5000

3.
Ca2Mg2Sb, optimized geometry, DFT GGA-PBE; formation energy without anion corrections = -0.2745 eV/atom; volume = 296.6 Å³ per cell; total magnetic moment = 0.000 μB/f.u.; space group = P4/mbm (127)
1.0
7.7231 0.0000 0.0000
0.0000 7.7231 0.0000
0.0000 0.0000 4.9723
Sb Ca Mg
2 4 4
Direct
0.5000 0.5000 0.0000
0.0000 0.0000 0.0000
0.3291 0.1709 0.5000
0.6709 0.8291 0.5000
0.8291 0.3291 0.5000
0.1709 0.6709 0.5000
0.8680 0.6320 0.0000
0.3680 0.8680 0.0000
0.6320 0.1320 0.0000
0.1320 0.3680 0.0000

4.
CaMg2Sb2, optimized geometry, DFT GGA-PBE; formation energy without anion corrections = -0.5753 eV/atom; volume = 306.3 Å³ per cell; total magnetic moment = 0.000 μB/f.u.; distance to the lowest polymorph of the same formula = 142 meV per atom; space group = Fddd (70)
1.0
7.4366 0.3450 -0.2429
-1.2073 7.3461 -0.2429
-2.9443 -3.6352 5.7944
Mg Sb Ca
4 4 2
Direct
0.2365 0.4863 0.4728
0.4863 0.2365 0.9728
0.5137 0.7635 0.0272
0.7635 0.5137 0.5272
0.8453 0.1547 0.2500
0.5955 0.4045 0.7500
0.1547 0.8453 0.7500
0.4045 0.5955 0.2500
0.8751 0.1249 0.7500
0.1249 0.8751 0.2500